No. 1
CrTeAu2 (SCAN, single point on PBEsol structure); raw formation energy = -0.003 eV/atom; space-group type = P4/mmm, No. 123
1.0
3.9310 0.0000 0.0000
0.0000 3.9310 0.0000
0.0000 0.0000 4.8142
Cr Te Au
1 1 2
direct
0.0000 0.0000 0.0000 Cr
0.5000 0.5000 0.0000 Te
0.0000 0.5000 0.5000 Au
0.5000 0.0000 0.5000 Au


No. 2
BaCaCr2As (SCAN, single point on PBEsol structure); formation energy from the elements = 214.6 meV per atom; space-group type = P4/mmm, No. 123
1.0
4.9533 0.0000 0.0000
0.0000 4.9533 0.0000
0.0000 0.0000 6.0676
Ba Ca Cr As
1 1 2 1
direct
0.0000 0.0000 0.0000 Ba
0.5000 0.5000 0.0000 Ca
0.0000 0.5000 0.5000 Cr
0.5000 0.0000 0.5000 Cr
0.0000 0.0000 0.5000 As


No. 3
Ba2NdIrO6 (SCAN, single point on PBEsol structure); raw formation energy = -2.535 eV/atom; space-group type = Fm-3m, No. 225
1.0
0.0000 4.2426 4.2426
4.2426 0.0000 4.2426
4.2426 4.2426 0.0000
Ba Nd Ir O
2 1 1 6
direct
0.2500 0.2500 0.2500 Ba
0.7500 0.7500 0.7500 Ba
0.0000 0.0000 0.0000 Nd
0.5000 0.5000 0.5000 Ir
0.2690 0.2690 0.7310 O
0.2690 0.7310 0.2690 O
0.2690 0.7310 0.7310 O
0.7310 0.2690 0.2690 O
0.7310 0.2690 0.7310 O
0.7310 0.7310 0.2690 O


No. 4
AlTe2Rh (SCAN, single point on PBEsol structure); raw formation energy = -0.246 eV/atom; space-group type = R-3m, No. 166
1.0
1.9920 1.1501 6.3017
-1.9920 1.1501 6.3017
0.0000 -2.3001 6.3017
Al Te Rh
1 2 1
direct
0.0000 0.0000 0.0000 Al
0.2404 0.2404 0.2404 Te
0.7596 0.7596 0.7596 Te
0.5000 0.5000 0.5000 Rh


No. 5
CuAs2C (SCAN, single point on PBEsol structure); formation energy from the elements = 524.6 meV per atom; space-group type = I-42d, No. 122
1.0
-2.5715 2.5715 4.6929
2.5715 -2.5715 4.6929
2.5715 2.5715 -4.6929
Cu As C
2 4 2
direct
0.0000 0.0000 0.0000 Cu
0.7500 0.2500 0.5000 Cu
0.1713 0.1250 0.5463 As
0.3750 0.8287 0.9537 As
0.5787 0.6250 0.4537 As
0.8750 0.4213 0.0463 As
0.2500 0.7500 0.5000 C
0.5000 0.5000 0.0000 C


No. 6
TlW2Au (SCAN, single point on PBEsol structure); formation energy from the elements = 824.7 meV per atom; space-group type = Pmmm, No. 47; energy relative to the lowest polymorph listed for this composition = 0.000 eV per atom
1.0
3.3849 0.0000 0.0000
0.0000 4.3817 0.0000
0.0000 0.0000 4.6628
Tl W Au
1 2 1
direct
0.0000 0.0000 0.0000 Tl
0.0000 0.5000 0.5000 W
0.5000 0.0000 0.5000 W
0.5000 0.5000 0.0000 Au


Per-record volume, Å³/cell: 74.39, 148.87, 152.73, 86.62, 124.13, 69.16